[1]
Here is an optimized crystal structure of CrRe2Au from Alexandria via LeMat-Bulk. Energies are from PBE.

Geometry as extended XYZ:
```
4
Lattice="5.4291 0.0301 -0.0131 2.8233 4.6374 0.0131 -3.6059 -3.2537 2.4263" Properties=species:S:1:pos:R:3 pbc="T T T"
Cr 1.6718 1.8587 1.2197
Re 0.2929 0.1656 0.0000
Re 3.8334 2.1681 0.0000
Au 2.9747 -0.4449 1.2066
```

Computed properties:
The total energy comes out at -36.16 eV/cell. The calculation puts the total magnetization at 1.0 μB/f.u. The crystal system is orthorhombic. The calculation puts the formation energy at 0.408 eV/atom. The energy above the most stable polymorph in this dataset comes out at 142 meV/atom. The symmetry is Immm.


[2]
Here is an optimized crystal structure of Cr2ReAu from Alexandria via LeMat-Bulk. Energies are from PBE.

Geometry as extended XYZ:
```
4
Lattice="8.8355 0.0130 0.0076 8.3974 2.7476 0.0076 8.3974 1.3452 2.3958" Properties=species:S:1:pos:R:3 pbc="T T T"
Cr 25.3795 4.0656 2.3874
Cr 6.5393 1.0475 0.6151
Re 13.0382 2.0886 1.2265
Au 19.1185 3.0627 1.7985
```

Computed properties:
The total energy comes out at -33.49 eV/cell. The calculation puts the total magnetization at 1.0 μB/f.u. The crystal system is trigonal. The calculation puts the formation energy at 0.371 eV/atom. The energy above the most stable polymorph in this dataset comes out at 125 meV/atom. The symmetry is R3m.


[3]
Here is an optimized crystal structure of CrReAu3 from Alexandria via LeMat-Bulk. Energies are from PBE.

Geometry as extended XYZ:
```
5
Lattice="-2.5557 -0.2394 4.0192 -3.2363 -2.7100 -2.2193 2.3954 -3.9169 1.2899" Properties=species:S:1:pos:R:3 pbc="T T T"
Au 1.1977 -1.9584 0.6449
Au -1.6182 -1.3550 -1.1097
Au -1.2779 -0.1197 2.0096
Cr 0.0000 0.0000 0.0000
Re -1.6983 -3.4331 1.5449
```

Computed properties:
The total energy comes out at -22.49 eV/cell. The calculation puts the total magnetization at 4.2 μB/f.u. The crystal system is cubic. The calculation puts the formation energy at 1.884 eV/atom. The energy above the most stable polymorph in this dataset comes out at 8 meV/atom. The symmetry is Pm-3m.


[4]
Here is an optimized crystal structure of Cr2ReAu from Alexandria via LeMat-Bulk. Energies are from PBE.

Geometry as extended XYZ:
```
4
Lattice="-1.9086 -1.4832 -1.3703 2.0000 -3.0844 0.5529 -2.7224 -0.9091 4.7760" Properties=species:S:1:pos:R:3 pbc="T T T"
Cr -0.1152 -0.0385 0.2022
Cr -0.6189 -2.5057 0.7572
Au -2.0211 -2.9740 3.2172
Re -1.2371 -0.4131 2.1702
```

Computed properties:
The total energy comes out at -33.77 eV/cell. The calculation puts the total magnetization at 0.1 μB/f.u. The crystal system is orthorhombic. The calculation puts the formation energy at 0.300 eV/atom. The energy above the most stable polymorph in this dataset comes out at 53 meV/atom. The symmetry is Pmm2.


[5]
Here is an optimized crystal structure of CrRe2Au from Alexandria via LeMat-Bulk. Energies are from PBE.

Geometry as extended XYZ:
```
4
Lattice="4.7871 -0.0146 0.0000 1.6702 4.4863 0.0000 -3.2286 -2.2358 2.7374" Properties=species:S:1:pos:R:3 pbc="T T T"
Au 0.8351 2.2431 1.3687
Re 3.2286 2.2358 0.0000
Re 0.0000 0.0000 0.0000
Cr 2.3935 -0.0073 1.3687
```

Computed properties:
The total energy comes out at -36.24 eV/cell. The calculation puts the total magnetization at 0.0 μB/f.u. The crystal system is tetragonal. The calculation puts the formation energy at 0.388 eV/atom. The energy above the most stable polymorph in this dataset comes out at 122 meV/atom. The symmetry is I4/mmm.


[6]
Here is an optimized crystal structure of Cr2ReWAu from Alexandria via LeMat-Bulk. Energies are from PBE.

Geometry as extended XYZ:
```
5
Lattice="4.4644 0.0000 0.0000 0.0000 4.8439 0.0000 0.0000 0.0000 4.4644" Properties=species:S:1:pos:R:3 pbc="T T T"
W 0.0000 2.4219 0.0000
Cr 0.0000 0.0000 2.2322
Cr 2.2322 0.0000 0.0000
Re 2.2322 2.4219 2.2322
Au 0.0000 0.0000 0.0000
```

Computed properties:
The total energy comes out at -34.58 eV/cell. The calculation puts the total magnetization at 0.7 μB/f.u. The crystal system is tetragonal. The calculation puts the formation energy at 2.668 eV/atom. The symmetry is P4/mmm.


[7]
Here is an optimized crystal structure of ZnCrReAu2 from Alexandria via LeMat-Bulk. Energies are from PBE.

Geometry as extended XYZ:
```
5
Lattice="4.5817 0.0000 0.0000 0.0000 4.6759 0.0000 0.0000 0.0000 4.5817" Properties=species:S:1:pos:R:3 pbc="T T T"
Au 2.2909 0.0000 0.0000
Au 0.0000 0.0000 2.2909
Zn 0.0000 0.0000 0.0000
Re 0.0000 2.3380 0.0000
Cr 2.2909 2.3380 2.2909
```

Computed properties:
The total energy comes out at -21.26 eV/cell. The calculation puts the total magnetization at 1.0 μB/f.u. The crystal system is tetragonal. The calculation puts the formation energy at 1.729 eV/atom. The symmetry is P4/mmm.


[8]
Here is an optimized crystal structure of Cr2RhAu from Alexandria via LeMat-Bulk. Energies are from PBE.

Geometry as extended XYZ:
```
4
Lattice="-1.8109 -4.3563 0.7504 1.0335 -4.5837 0.8609 -0.2081 -0.3339 4.6662" Properties=species:S:1:pos:R:3 pbc="T T T"
Rh -0.4960 -4.7428 3.0071
Cr -0.2539 -2.3798 1.6383
Cr -0.7668 -8.8044 1.6195
Au -0.7386 -6.9237 4.7627
```

Computed properties:
The total energy comes out at -29.36 eV/cell. The calculation puts the total magnetization at 0.4 μB/f.u. The crystal system is monoclinic. The calculation puts the formation energy at 0.130 eV/atom. The symmetry is Cm.


[9]
Here is an optimized crystal structure of Cr2RhAu from Alexandria via LeMat-Bulk. Energies are from PBE.

Geometry as extended XYZ:
```
4
Lattice="2.6996 0.0000 0.0000 0.0000 3.8397 0.0000 0.0000 0.0000 5.4128" Properties=species:S:1:pos:R:3 pbc="T T T"
Rh 1.3498 1.9199 1.3532
Cr 0.0000 0.0000 0.2125
Cr 0.0000 0.0000 2.4939
Au 1.3498 1.9199 4.0596
```

Computed properties:
The total energy comes out at -29.18 eV/cell. The calculation puts the total magnetization at 0.0 μB/f.u. The crystal system is orthorhombic. The calculation puts the formation energy at 0.173 eV/atom. The symmetry is Pmmm.


[10]
Here is an optimized crystal structure of Cr2RhAu from Alexandria via LeMat-Bulk. Energies are from PBE.

Geometry as extended XYZ:
```
4
Lattice="-3.6115 -2.5789 1.4648 -1.6474 -2.6601 3.4713 -2.4066 3.1778 2.4844" Properties=species:S:1:pos:R:3 pbc="T T T"
Cr -5.3950 -5.0173 5.0783
Cr -3.6966 -1.2523 3.5680
Au -5.7491 -1.5459 5.5654
Rh -1.9164 -0.5153 1.8551
```

Computed properties:
The total energy comes out at -28.92 eV/cell. The calculation puts the total magnetization at 0.0 μB/f.u. The crystal system is monoclinic. The calculation puts the formation energy at 0.239 eV/atom. The symmetry is C2/m.


[11]
Here is an optimized crystal structure of Cr2RhAu from Alexandria via LeMat-Bulk. Energies are from PBE.

Geometry as extended XYZ:
```
4
Lattice="-1.9885 2.0421 -0.8280 -1.3269 -0.2192 2.6460 4.1265 5.0262 2.4857" Properties=species:S:1:pos:R:3 pbc="T T T"
Cr 0.0800 0.0975 0.0482
Cr 1.9832 2.4156 1.1947
Au 1.4372 4.6810 2.7733
Rh -0.6261 2.1680 1.5304
```

Computed properties:
The total energy comes out at -29.19 eV/cell. The calculation puts the total magnetization at 6.8 μB/f.u. The crystal system is tetragonal. The calculation puts the formation energy at 0.172 eV/atom. The symmetry is P4/mmm.


[12]
Here is an optimized crystal structure of Cr2RhAu from Alexandria via LeMat-Bulk. Energies are from PBE.

Geometry as extended XYZ:
```
4
Lattice="-3.3925 2.6709 2.0393 -3.4195 0.9725 -3.1879 2.0618 -4.1001 1.3189" Properties=species:S:1:pos:R:3 pbc="T T T"
Cr -2.3678 0.1960 1.3920
Cr -0.0010 0.0006 -0.0002
Rh -3.4052 1.8213 -0.5742
Au -2.3820 -0.6528 -1.2217
```

Computed properties:
The total energy comes out at -29.41 eV/cell. The calculation puts the total magnetization at 1.0 μB/f.u. The crystal system is tetragonal. The calculation puts the formation energy at 0.115 eV/atom. The symmetry is I-4m2.


[13]
Here is an optimized crystal structure of Cr2RhAu from Alexandria via LeMat-Bulk. Energies are from PBE.

Geometry as extended XYZ:
```
4
Lattice="-0.2584 -2.2813 -4.0635 4.4400 0.2720 1.4127 -0.2823 -2.3570 1.3412" Properties=species:S:1:pos:R:3 pbc="T T T"
Cr 2.0908 -1.0046 -1.3254
Cr 0.0000 0.0000 0.0000
Rh -0.2704 -2.3191 -1.3612
Au 2.0788 -1.0425 1.3769
```

Computed properties:
The total energy comes out at -28.90 eV/cell. The calculation puts the total magnetization at 1.8 μB/f.u. The crystal system is orthorhombic. The calculation puts the formation energy at 0.243 eV/atom. The symmetry is Cmmm.


[14]
Here is an optimized crystal structure of CrRhAu3 from Alexandria via LeMat-Bulk. Energies are from PBE.

Geometry as extended XYZ:
```
5
Lattice="-1.8250 -0.2960 4.6343 -3.5359 -3.1394 -1.5929 3.0104 -3.8668 0.9386" Properties=species:S:1:pos:R:3 pbc="T T T"
Rh 0.0000 0.0000 0.0000
Au -0.9125 -0.1480 2.3172
Au 1.5052 -1.9334 0.4693
Au -1.7679 -1.5697 -0.7965
Cr -1.1752 -3.6511 1.9900
```

Computed properties:
The total energy comes out at -21.44 eV/cell. The calculation puts the total magnetization at 5.6 μB/f.u. The crystal system is cubic. The calculation puts the formation energy at 1.073 eV/atom. The energy above the most stable polymorph in this dataset comes out at 0 meV/atom. The symmetry is Pm-3m.


[15]
Here is an optimized crystal structure of CrRhAu3 from Alexandria via LeMat-Bulk. Energies are from PBE.

Geometry as extended XYZ:
```
5
Lattice="-0.9530 -1.6847 -4.3047 3.6243 -3.0005 0.3720 -2.8694 -3.2304 1.8995" Properties=species:S:1:pos:R:3 pbc="T T T"
Rh -0.0990 -3.9578 -1.0166
Au -1.4347 -1.6152 0.9497
Au 1.8121 -1.5002 0.1860
Au -0.4765 -0.8424 -2.1523
Cr 0.0000 0.0000 0.0000
```

Computed properties:
The total energy comes out at -19.85 eV/cell. The calculation puts the total magnetization at 0.0 μB/f.u. The crystal system is cubic. The calculation puts the formation energy at 1.392 eV/atom. The energy above the most stable polymorph in this dataset comes out at 319 meV/atom. The symmetry is Pm-3m.


[16]
Here is an optimized crystal structure of Cr2RhAu from Alexandria via LeMat-Bulk. Energies are from PBE.

Geometry as extended XYZ:
```
4
Lattice="4.4066 0.0000 0.0000 0.0000 2.9174 -0.2459 0.0000 0.3911 4.6399" Properties=species:S:1:pos:R:3 pbc="T T T"
Cr 2.2033 0.4862 1.4093
Cr 4.4066 0.7353 4.3640
Rh 4.4066 1.9931 1.8627
Au 2.2033 2.1394 3.5950
```

Computed properties:
The total energy comes out at -29.39 eV/cell. The calculation puts the total magnetization at 0.2 μB/f.u. The crystal system is orthorhombic. The calculation puts the formation energy at 0.121 eV/atom. The symmetry is Pmm2.


[17]
Here is an optimized crystal structure of Cr2RhAu from Alexandria via LeMat-Bulk. Energies are from PBE.

Geometry as extended XYZ:
```
4
Lattice="-8.1784 2.3733 -0.2909 -8.0449 1.4990 2.3739 -7.2628 4.1134 1.7134" Properties=species:S:1:pos:R:3 pbc="T T T"
Cr -6.0311 2.0507 0.9749
Cr -23.1708 7.8785 3.7454
Au -17.5270 5.9595 2.8331
Rh -11.9864 4.0756 1.9375
```

Computed properties:
The total energy comes out at -29.08 eV/cell. The calculation puts the total magnetization at 0.0 μB/f.u. The crystal system is trigonal. The calculation puts the formation energy at 0.199 eV/atom. The symmetry is R3m.


[18]
Here is an optimized crystal structure of Cr2RhAu from Alexandria via LeMat-Bulk. Energies are from PBE.

Geometry as extended XYZ:
```
8
Lattice="-4.6741 -4.5062 -2.4565 3.9599 -1.0528 -5.6034 0.9507 -4.8521 -2.7163" Properties=species:S:1:pos:R:3 pbc="T T T"
Rh -0.3571 -2.7795 -4.0299
Rh 2.2768 -4.3422 -6.1748
Cr 0.0017 -8.4803 -8.9674
Cr 0.5316 -5.7467 -5.1819
Cr -2.0867 -4.0627 -2.8612
Cr 2.0264 -2.5326 -4.5418
Au 0.0000 0.0000 0.0000
Au -2.0402 -6.0689 -4.6014
```

Computed properties:
The total energy comes out at -55.19 eV/cell. The calculation puts the total magnetization at 6.7 μB/f.u. The crystal system is tetragonal. The calculation puts the formation energy at 0.570 eV/atom. The symmetry is I-42d.


[19]
Here is an optimized crystal structure of Cr2RhAu from Alexandria via LeMat-Bulk. Energies are from PBE.

Geometry as extended XYZ:
```
4
Lattice="-5.5748 -5.9305 -3.6988 -3.5798 -6.0406 -5.5343 -3.4465 -7.5637 -3.2929" Properties=species:S:1:pos:R:3 pbc="T T T"
Cr -6.3557 -9.8528 -6.3177
Cr -12.5461 -19.4494 -12.4712
Au -9.4509 -14.6511 -9.3945
Rh -3.1503 -4.8837 -3.1315
```

Computed properties:
The total energy comes out at -28.59 eV/cell. The calculation puts the total magnetization at 0.0 μB/f.u. The crystal system is trigonal. The calculation puts the formation energy at 0.320 eV/atom. The symmetry is R-3m.


[20]
Here is an optimized crystal structure of Cr2RhAu from Alexandria via LeMat-Bulk. Energies are from PBE.

Geometry as extended XYZ:
```
4
Lattice="-0.0097 -0.8490 -2.5550 -0.1828 -1.9845 1.8103 -8.5674 0.6286 -0.1762" Properties=species:S:1:pos:R:3 pbc="T T T"
Cr -2.0819 -1.2711 -0.4132
Cr -0.3041 0.0223 -0.0063
Rh -4.0429 0.2966 -0.0832
Au -6.6147 -0.9385 -0.5064
```

Computed properties:
The total energy comes out at -29.00 eV/cell. The calculation puts the total magnetization at 0.0 μB/f.u. The crystal system is orthorhombic. The calculation puts the formation energy at 0.219 eV/atom. The symmetry is Cmm2.